No. 1
CsTaTcO2 PBE-GGA optimized geometry; space group = No. 123; formation energy from raw total energies = -0.56 eV/atom
1.0
-2.384 2.306 2.316
2.576 -1.755 4.400
2.636 3.052 -0.326
Ta Tc Cs O
1 1 1 2
direct
0.000 0.000 0.000
0.000 0.500 0.000
0.500 0.500 0.500
0.000 0.000 0.500
0.500 0.000 0.000

---

No. 2
ZrBRh3 PBE-GGA optimized geometry; space group = No. 11; ΔE_f = -0.608 eV/atom
1.0
5.065 0.000 1.117
0.000 5.524 0.000
-0.748 0.000 4.913
B Zr Rh
2 2 6
direct
0.969 0.750 0.865
0.031 0.250 0.135
0.823 0.250 0.633
0.177 0.750 0.367
0.264 0.006 0.875
0.736 0.994 0.125
0.264 0.494 0.875
0.334 0.250 0.386
0.666 0.750 0.614
0.736 0.506 0.125

---

No. 3
Pr4SiNCl2 PBE-GGA optimized geometry; space group = No. 10; formation energy from raw total energies = -1.31 eV/atom
1.0
3.976 0.000 0.000
0.000 6.943 0.088
0.000 -2.477 7.193
N Cl Pr Si
1 2 4 1
direct
0.500 0.500 0.000
0.000 0.500 0.500
0.500 0.000 0.500
0.500 0.273 0.204
0.500 0.727 0.796
0.000 0.290 0.803
0.000 0.710 0.197
0.000 0.000 0.000